A plane-wave DFT calculation with PBE was carried out for a geometry-optimized TbGdGaCo structure.

Cell lengths 4.957, 4.957, 4.957 Å; angles 60.00, 60.00, 60.00 degrees
Fractional positions:
Gd 0.000 0.000 0.000
Ga 0.750 0.750 0.750
Co 0.250 0.250 0.250
Tb 0.500 0.500 0.500

SG: No. 216
Uncorrected energy in eV per atom: -7.5150



A plane-wave DFT calculation with PBE was carried out for a geometry-optimized GdYGaCo structure.

Cell lengths 4.950, 4.950, 4.950 Å; angles 60.00, 60.00, 60.00 degrees
Fractional positions:
Y 0.750 0.750 0.750
Ga 0.000 0.000 0.000
Gd 0.250 0.250 0.250
Co 0.500 0.500 0.500

SG: No. 216
Uncorrected energy in eV per atom: -7.9715



A plane-wave DFT calculation with PBE was carried out for a geometry-optimized GdZrGaCo structure.

Cell lengths 4.808, 4.808, 4.808 Å; angles 60.00, 60.00, 60.00 degrees
Fractional positions:
Gd 0.000 0.000 0.000
Zr 0.500 0.500 0.500
Ga 0.250 0.250 0.250
Co 0.750 0.750 0.750

SG: No. 216
Uncorrected energy in eV per atom: -8.4192



A plane-wave DFT calculation with PBE was carried out for a geometry-optimized GaCo2Ge2 structure.

Cell lengths 3.586, 3.586, 6.184 Å; angles 73.15, 73.15, 90.00 degrees
Fractional positions:
Co 0.390 0.390 0.219
Co 0.610 0.610 0.781
Ge 0.250 0.750 0.500
Ga 0.000 0.000 0.000
Ge 0.750 0.250 0.500

SG: No. 139
Relative energy among the computed polymorphs in meV/atom: 301
Uncorrected energy in eV per atom: -5.2084



A plane-wave DFT calculation with PBE was carried out for a geometry-optimized GaCo2Ge2 structure.

Cell lengths 7.040, 7.040, 2.754 Å; angles 90.00, 90.00, 90.00 degrees
Fractional positions:
Co 0.859 0.641 0.000
Co 0.641 0.141 0.000
Ga 0.000 0.000 0.000
Ga 0.500 0.500 0.000
Ge 0.346 0.154 0.500
Ge 0.654 0.846 0.500
Co 0.141 0.359 0.000
Ge 0.846 0.346 0.500
Ge 0.154 0.654 0.500
Co 0.359 0.859 0.000

SG: No. 127
Relative energy among the computed polymorphs in meV/atom: 183
Uncorrected energy in eV per atom: -5.3263



no.,formation enthalpy at 0 K (meV per atom),mass density (g/cm³)
1,-304,8.577
2,-302,7.256
3,-229,7.968
4,86,7.623
5,-32,8.100